(1)
Computed, not measured: a relaxed TlCuGe crystal at the PBE level of DFT.

DFT total energy (eV per atom): -2.65
V (Å³/cell): 187.6

Structure (CIF):
```
data_TlCuGe
_cell_length_a 4.4536
_cell_length_b 4.4536
_cell_length_c 10.9242
_cell_angle_alpha 90.00
_cell_angle_beta 90.00
_cell_angle_gamma 120.00
_space_group_name_H-M_alt 'P 63/m m c'
_space_group_IT_number 194
_space_group_name_Hall '-P 6c 2c'
loop_
_atom_site_label
_atom_site_type_symbol
_atom_site_fract_x
_atom_site_fract_y
_atom_site_fract_z
_atom_site_occupancy
Tl1 Tl 0.0000 0.0000 0.2500 1
Cu1 Cu 0.3333 0.6667 0.2500 1
Ge1 Ge 0.0000 0.0000 0.0000 1
```

(2)
Computed, not measured: a relaxed SrAlZn2 crystal at the PBE level of DFT.

DFT total energy (eV per atom): -2.19
V (Å³/cell): 187.5

Structure (CIF):
```
data_SrAlZn2
_cell_length_a 7.703
_cell_length_b 4.417
_cell_length_c 6.067
_cell_angle_alpha 90.00
_cell_angle_beta 114.69
_cell_angle_gamma 90.00
_space_group_name_H-M_alt 'C 1 2/m 1'
_space_group_IT_number 12
_space_group_name_Hall '-C 2y'
loop_
_atom_site_label
_atom_site_type_symbol
_atom_site_fract_x
_atom_site_fract_y
_atom_site_fract_z
_atom_site_occupancy
Sr1 Sr 0.000 0.000 0.000 1
Al1 Al 0.000 0.500 0.500 1
Zn1 Zn 0.204 0.000 0.610 1
```

(3)
Computed, not measured: a relaxed La3Sm4Y crystal at the PBE level of DFT.

Relative energy among the computed polymorphs (eV per atom): 0.000
DFT total energy (eV per atom): -5.02
V (Å³/cell): 555.2

Structure (CIF):
```
data_La3Sm4Y
_cell_length_a 11.863
_cell_length_b 6.352
_cell_length_c 7.369
_cell_angle_alpha 90.00
_cell_angle_beta 90.00
_cell_angle_gamma 90.00
_space_group_name_H-M_alt 'P m n 21'
_space_group_IT_number 31
_space_group_name_Hall 'P 2ac -2'
loop_
_atom_site_label
_atom_site_type_symbol
_atom_site_fract_x
_atom_site_fract_y
_atom_site_fract_z
_atom_site_occupancy
La1 La 0.000 0.168 0.000 1
La2 La 0.249 0.000 0.750 1
Sm1 Sm 0.000 0.168 0.500 1
Sm2 Sm 0.000 0.667 0.250 1
Sm3 Sm 0.249 0.499 0.499 1
Y1 Y 0.000 0.667 0.748 1
```

Which formula does entry 3 have? La3Sm4Y